# MgNbZn2 | Alexandria | PBE | optimized geometry
data_MgNbZn2
_cell_length_a 2.972
_cell_length_b 2.972
_cell_length_c 7.573
_cell_angle_alpha 90.00
_cell_angle_beta 90.00
_cell_angle_gamma 90.00
_space_group_name_H-M_alt 'P 4/m m m'
_space_group_IT_number 123
_space_group_name_Hall '-P 4 2'
loop_
_atom_site_label
_atom_site_type_symbol
_atom_site_fract_x
_atom_site_fract_y
_atom_site_fract_z
_atom_site_occupancy
Mg1 Mg 0.000 0.000 0.000 1
Nb1 Nb 0.000 0.000 0.500 1
Zn1 Zn 0.500 0.500 0.251 1
# M_tot (μB per formula unit): 0.00
# Energy of formation from the pure elements (kJ/mol of atoms): -6.4
# N(E_F) (states/eV per atom): 0.357
# V (A^3/atom): 16.7

***

# ErMgSc2Zn4 | Alexandria | PBE | optimized geometry
data_ErMgSc2Zn4
_cell_length_a 4.7609
_cell_length_b 4.7609
_cell_length_c 23.7115
_cell_angle_alpha 90.00
_cell_angle_beta 90.00
_cell_angle_gamma 120.00
_space_group_name_H-M_alt 'R -3 m'
_space_group_IT_number 166
_space_group_name_Hall '-R 3 2"'
loop_
_atom_site_label
_atom_site_type_symbol
_atom_site_fract_x
_atom_site_fract_y
_atom_site_fract_z
_atom_site_occupancy
Er1 Er 0.0000 0.0000 0.0000 1
Mg1 Mg 0.0000 0.0000 0.5000 1
Sc1 Sc 0.0000 0.0000 0.2458 1
Zn1 Zn 0.0000 0.0000 0.1255 1
Zn2 Zn 0.0000 0.0000 0.3768 1
# M_tot (μB per formula unit): 0.00
# Energy of formation from the pure elements (kJ/mol of atoms): -29.6
# N(E_F) (states/eV per atom): 0.671
# V (A^3/atom): 19.4

***

# YCdRh | Alexandria | PBE | optimized geometry
data_YCdRh
_cell_length_a 10.300
_cell_length_b 4.039
_cell_length_c 7.580
_cell_angle_alpha 90.00
_cell_angle_beta 121.92
_cell_angle_gamma 90.00
_space_group_name_H-M_alt 'C 1 m 1'
_space_group_IT_number 8
loop_
_space_group_symop_operation_xyz
'x,y,z'
'x,-y,z'
'x+1/2,y+1/2,z'
'x+1/2,-y+1/2,z'
loop_
_atom_site_label
_atom_site_type_symbol
_atom_site_fract_x
_atom_site_fract_y
_atom_site_fract_z
_atom_site_occupancy
Y1 Y 0.000 0.000 0.000 1
Y2 Y 0.081 0.500 0.667 1
Cd1 Cd 0.240 0.000 0.527 1
Cd2 Cd 0.310 0.500 0.243 1
Rh1 Rh 0.039 0.500 0.283 1
Rh2 Rh 0.264 0.000 0.923 1
# M_tot (μB per formula unit): 0.00
# Energy of formation from the pure elements (kJ/mol of atoms): -47.0
# N(E_F) (states/eV per atom): 0.543
# V (A^3/atom): 22.3

***

# In2ReTc | Alexandria | PBE | optimized geometry
data_In2ReTc
_cell_length_a 7.545
_cell_length_b 7.545
_cell_length_c 5.509
_cell_angle_alpha 90.00
_cell_angle_beta 90.00
_cell_angle_gamma 90.00
_space_group_name_H-M_alt 'I -4 2 d'
_space_group_IT_number 122
_space_group_name_Hall 'I -4 2bw'
loop_
_atom_site_label
_atom_site_type_symbol
_atom_site_fract_x
_atom_site_fract_y
_atom_site_fract_z
_atom_site_occupancy
In1 In 0.249 0.250 0.125 1
Re1 Re 0.000 0.000 0.500 1
Tc1 Tc 0.000 0.000 0.000 1
# M_tot (μB per formula unit): 1.79
# Energy of formation from the pure elements (kJ/mol of atoms): 106.8
# N(E_F) (states/eV per atom): 1.073
# V (A^3/atom): 19.6

***

# ErPuGe | Alexandria | PBE | optimized geometry
data_ErPuGe
_cell_length_a 4.141
_cell_length_b 4.141
_cell_length_c 8.300
_cell_angle_alpha 90.00
_cell_angle_beta 90.00
_cell_angle_gamma 90.00
_space_group_name_H-M_alt 'P 4/n m m'
_space_group_IT_number 129
loop_
_space_group_symop_operation_xyz
'x,y,z'
'-x,-y,-z'
'-y+1/2,x,z'
'y+1/2,-x,-z'
'-x+1/2,-y+1/2,z'
'x+1/2,y+1/2,-z'
'y,-x+1/2,z'
'-y,x+1/2,-z'
'x+1/2,-y,-z'
'-x+1/2,y,z'
'-y,-x,-z'
'y,x,z'
'-x,y+1/2,-z'
'x,-y+1/2,z'
'y+1/2,x+1/2,-z'
'-y+1/2,-x+1/2,z'
loop_
_atom_site_label
_atom_site_type_symbol
_atom_site_fract_x
_atom_site_fract_y
_atom_site_fract_z
_atom_site_occupancy
Er1 Er 0.250 0.250 0.143 1
Pu1 Pu 0.250 0.750 0.500 1
Ge1 Ge 0.250 0.250 0.781 1
# M_tot (μB per formula unit): 5.31
# Energy of formation from the pure elements (kJ/mol of atoms): -53.2
# N(E_F) (states/eV per atom): 1.932
# V (A^3/atom): 23.7

***

# Mg2BeOs | Alexandria | PBE | optimized geometry
data_Mg2BeOs
_cell_length_a 3.362
_cell_length_b 4.001
_cell_length_c 8.495
_cell_angle_alpha 90.00
_cell_angle_beta 90.00
_cell_angle_gamma 90.00
_space_group_name_H-M_alt 'I m m m'
_space_group_IT_number 71
_space_group_name_Hall '-I 2 2'
loop_
_atom_site_label
_atom_site_type_symbol
_atom_site_fract_x
_atom_site_fract_y
_atom_site_fract_z
_atom_site_occupancy
Mg1 Mg 0.000 0.000 0.239 1
Be1 Be 0.000 0.500 0.500 1
Os1 Os 0.000 0.500 0.000 1
# M_tot (μB per formula unit): 0.00
# Energy of formation from the pure elements (kJ/mol of atoms): 21.8
# N(E_F) (states/eV per atom): 0.564
# V (A^3/atom): 14.3